Record 1
This record from the Alexandria database describes ScRh2F after structural relaxation. The functional is PBE-GGA.

Output
Formation energy (no corrections) ... -0.43 eV per atom
Calculated density ... 7.63 g cm⁻³
Crystal system ... cubic
SG ... Fm-3m, No. 225

```
ScRh2F
1.0
0.000 3.085 3.085
3.085 0.000 3.085
3.085 3.085 0.000
Sc Rh F
1 2 1
Direct
0.000 0.000 0.000 Sc
0.250 0.250 0.250 Rh
0.750 0.750 0.750 Rh
0.500 0.500 0.500 F
```

Record 2
This record from the Alexandria database describes VGaIr2Pb after structural relaxation. The functional is PBE-GGA.

Output
Calculated density ... 11.48 g cm⁻³
Crystal system ... tetragonal
Energy relative to the elements ... 0.703 eV/atom
SG ... P4/mmm, No. 123

```
VGaIr2Pb
1.0
4.635 0.000 0.000
0.000 4.635 0.000
0.000 0.000 4.796
V Ga Ir Pb
1 1 2 1
Direct
0.000 0.000 0.000 V
0.000 0.000 0.500 Ga
0.000 0.500 0.000 Ir
0.500 0.000 0.000 Ir
0.500 0.500 0.500 Pb
```

Record 3
This record from the Alexandria database describes BeZn2Bi after structural relaxation. The functional is PBE-GGA.

Output
Calculated density ... 7.29 g cm⁻³
Crystal system ... tetragonal
Energy relative to the elements ... 0.294 eV/atom
SG ... I-42d, No. 122

```
BeZn2Bi
1.0
-2.202 2.202 8.193
2.202 -2.202 8.193
2.202 2.202 -8.193
Be Zn Bi
2 4 2
Direct
0.000 0.000 0.000 Be
0.750 0.250 0.500 Be
0.005 0.625 0.880 Zn
0.375 0.255 0.380 Zn
0.745 0.125 0.120 Zn
0.875 0.995 0.620 Zn
0.250 0.750 0.500 Bi
0.500 0.500 0.000 Bi
```

Record 4
This record from the Alexandria database describes Ge2Pt3Rh after structural relaxation. The functional is PBE-GGA.

Output
Calculated density ... 14.94 g cm⁻³
Crystal system ... orthorhombic
Energy relative to the elements ... -0.406 eV/atom
SG ... Pmc2_1, No. 26

```
Ge2Pt3Rh
1.0
4.034 0.000 0.000
0.000 7.785 0.000
0.000 0.000 5.899
Ge Pt Rh
4 6 2
Direct
0.000 0.129 0.000 Ge
0.000 0.871 0.500 Ge
0.500 0.358 0.446 Ge
0.500 0.642 0.946 Ge
0.000 0.182 0.581 Pt
0.000 0.425 0.187 Pt
0.000 0.575 0.687 Pt
0.000 0.818 0.081 Pt
0.500 0.324 0.873 Pt
0.500 0.676 0.373 Pt
0.500 0.068 0.260 Rh
0.500 0.932 0.760 Rh
```

Record 5
This record from the Alexandria database describes ZrSb2TeOs after structural relaxation. The functional is PBE-GGA.

Output
Formation energy (no corrections) ... 0.75 eV per atom
Calculated density ... 7.70 g cm⁻³
Crystal system ... tetragonal
SG ... P4/mmm, No. 123

```
ZrSb2TeOs
1.0
5.003 0.000 0.000
0.000 5.003 0.000
0.000 0.000 5.621
Zr Sb Te Os
1 2 1 1
Direct
0.000 0.000 0.000 Zr
0.000 0.500 0.500 Sb
0.500 0.000 0.500 Sb
0.500 0.500 0.000 Te
0.500 0.500 0.500 Os
```

Record 6
This record from the Alexandria database describes Mo3Au after structural relaxation. The functional is PBE-GGA.

Output
Calculated density ... 12.35 g cm⁻³
Crystal system ... trigonal
Energy relative to the elements ... 0.264 eV/atom
SG ... R-3m, No. 166

```
Mo3Au
1.0
4.603 2.658 0.888
-4.603 2.658 0.888
0.000 -5.315 0.888
Mo Au
3 1
Direct
0.000 0.500 0.500 Mo
0.500 0.000 0.500 Mo
0.500 0.500 0.000 Mo
0.000 0.000 0.000 Au
```

Record 7
This record from the Alexandria database describes MgZrTa2B after structural relaxation. The functional is PBE-GGA.

Output
Calculated density ... 8.91 g cm⁻³
Crystal system ... tetragonal
Energy relative to the elements ... 0.008 eV/atom
SG ... P4/mmm, No. 123

```
MgZrTa2B
1.0
4.421 0.000 0.000
0.000 4.421 0.000
0.000 0.000 4.657
Mg Zr Ta B
1 1 2 1
Direct
0.000 0.000 0.000 Mg
0.500 0.500 0.000 Zr
0.000 0.500 0.500 Ta
0.500 0.000 0.500 Ta
0.500 0.500 0.500 B
```

Record 8
This record from the Alexandria database describes YCdTeO5 after structural relaxation. The functional is PBE-GGA.

Output
Formation energy (no corrections) ... -1.67 eV per atom
Calculated density ... 4.83 g cm⁻³
Crystal system ... monoclinic
SG ... C2/c, No. 15

```
YCdTeO5
1.0
4.248 -4.496 0.000
4.248 4.496 0.000
-4.236 0.000 7.366
Y Cd Te O
2 2 2 10
Direct
0.000 0.000 0.000 Y
0.000 0.000 0.500 Y
0.301 0.699 0.750 Cd
0.699 0.301 0.250 Cd
0.341 0.659 0.250 Te
0.659 0.341 0.750 Te
0.064 0.936 0.750 O
0.250 0.734 0.462 O
0.266 0.750 0.038 O
0.308 0.328 0.154 O
0.328 0.308 0.654 O
0.672 0.692 0.346 O
0.692 0.672 0.846 O
0.734 0.250 0.962 O
0.750 0.266 0.538 O
0.936 0.064 0.250 O
```

Record 9
This record from the Alexandria database describes Cs2ZnCdH after structural relaxation. The functional is PBE-GGA.

Output
Raw total energy ... -1.302 eV/atom
Calculated density ... 4.02 g cm⁻³
Crystal system ... tetragonal
SG ... P4/mmm, No. 123

```
Cs2ZnCdH
1.0
6.010 0.000 0.000
0.000 6.010 0.000
0.000 0.000 5.081
Cs Zn Cd H
2 1 1 1
Direct
0.000 0.500 0.000 Cs
0.500 0.000 0.000 Cs
0.000 0.000 0.500 Zn
0.500 0.500 0.500 Cd
0.500 0.500 0.000 H
```

Record 10
This record from the Alexandria database describes Pa3InTe8 after structural relaxation. The functional is PBE-GGA.

Output
Formation energy (no corrections) ... -0.67 eV per atom
Calculated density ... 6.23 g cm⁻³
Crystal system ... hexagonal
SG ... P6_3mc, No. 186

```
Pa3InTe8
1.0
8.842 0.000 0.000
-4.421 7.657 0.000
0.000 0.000 14.398
Pa In Te
6 2 16
Direct
0.166 0.333 0.000 Pa
0.166 0.834 0.000 Pa
0.333 0.166 0.500 Pa
0.667 0.834 0.000 Pa
0.834 0.166 0.500 Pa
0.834 0.667 0.500 Pa
0.333 0.667 0.251 In
0.667 0.333 0.751 In
0.000 0.000 0.120 Te
0.000 0.000 0.620 Te
0.010 0.505 0.115 Te
0.158 0.317 0.388 Te
0.158 0.842 0.388 Te
0.317 0.158 0.888 Te
0.333 0.667 0.881 Te
0.495 0.505 0.115 Te
0.495 0.990 0.115 Te
0.505 0.010 0.615 Te
0.505 0.495 0.615 Te
0.667 0.333 0.381 Te
0.683 0.842 0.388 Te
0.842 0.158 0.888 Te
0.842 0.683 0.888 Te
0.990 0.495 0.615 Te
```

Record 11
This record from the Alexandria database describes Er2SnO2 after structural relaxation. The functional is PBE-GGA.

Output
Formation energy (no corrections) ... -2.61 eV per atom
Calculated density ... 8.07 g cm⁻³
Crystal system ... tetragonal
SG ... I4/mmm, No. 139

```
Er2SnO2
1.0
-1.893 1.893 6.968
1.893 -1.893 6.968
1.893 1.893 -6.968
Er Sn O
2 1 2
Direct
0.170 0.170 0.000 Er
0.830 0.830 0.000 Er
0.500 0.500 0.000 Sn
0.250 0.750 0.500 O
0.750 0.250 0.500 O
```

Record 12
This record from the Alexandria database describes GdBrF after structural relaxation. The functional is PBE-GGA.

Output
Formation energy (no corrections) ... -2.47 eV per atom
Calculated density ... 6.99 g cm⁻³
Crystal system ... hexagonal
SG ... P-6m2, No. 187

```
GdBrF
1.0
4.209 0.000 0.000
-2.105 3.645 0.000
0.000 0.000 3.965
Gd Br F
1 1 1
Direct
0.000 0.000 0.000 Gd
0.667 0.333 0.500 Br
0.333 0.667 0.000 F
```

Summary of Fermi-level density of states in states/eV/cell
3.77, 4.82, 2.69, 3.51, 5.26, 3.52, 3.34, 3.81, 4.14, 3.31, 1.74, 3.68
(order as listed above)